1.
SiSb2Rh: relaxed, PBE-GGA.

Calculated values
E_tot = -5.014 eV/atom
raw formation energy = 93 kJ/mol of formula units
symmetry = No. 65

Cell: 4.9412 4.9412 3.2873 Å, 90.00 90.00 100.68°
Last column: nearest neighbours and their distance in Å.
Positions (direct):
Sb 0.5000 0.5000 0.0000  4 Rh 2.97, 4 Si 2.97, 4 Sb 3.15-3.29
Sb 0.0000 0.0000 0.0000  4 Si 2.97, 4 Rh 2.97, 4 Sb 3.15-3.29
Rh 0.0000 0.5000 0.5000  8 Sb 2.97, 2 Si 3.15, 2 Rh 3.29
Si 0.5000 0.0000 0.5000  8 Sb 2.97, 2 Rh 3.15, 2 Si 3.29


2.
TbHfCdIn: relaxed, PBE-GGA.

Calculated values
E_tot = -4.716 eV/atom
calculated formation energy = -0.63 eV/f.u.
symmetry = No. 216

Cell: 5.1198 5.1198 5.1198 Å, 60.00 60.00 60.00°
Last column: nearest neighbours and their distance in Å.
Positions (direct):
Hf 0.0000 0.0000 0.0000  4 In 3.14, 4 Cd 3.14
Cd 0.7500 0.7500 0.7500  4 Hf 3.14, 4 Tb 3.14
Tb 0.5000 0.5000 0.5000  4 Cd 3.14, 4 In 3.14
In 0.2500 0.2500 0.2500  4 Tb 3.14, 4 Hf 3.14


3.
TlTe4Ru: relaxed, PBE-GGA.

Calculated values
E_tot = -3.180 eV/atom
raw formation energy = 495 kJ/mol of formula units
symmetry = No. 216

Cell: 6.3726 6.3726 6.3726 Å, 60.00 60.00 60.00°
Last column: nearest neighbours and their distance in Å.
Positions (direct):
Te 0.3742 0.3742 0.3742  6 Te 3.17-3.21
Te 0.8775 0.3742 0.3742  6 Te 3.17-3.21
Te 0.3742 0.3742 0.8775  6 Te 3.17-3.21
Ru 0.0000 0.0000 0.0000  12 Te 3.73, 4 Tl 3.90
Te 0.3742 0.8775 0.3742  6 Te 3.17-3.21
Tl 0.7500 0.7500 0.7500  12 Te 3.74, 4 Ru 3.90


4.
LiSmBeAl: relaxed, PBE-GGA.

Calculated values
E_tot = -3.659 eV/atom
calculated formation energy = -0.53 eV/f.u.
symmetry = No. 216

Cell: 4.6009 4.6009 4.6009 Å, 60.00 60.00 60.00°
Last column: nearest neighbours and their distance in Å.
Positions (direct):
Be 0.5000 0.5000 0.5000  4 Al 2.82, 4 Sm 2.82
Li 0.0000 0.0000 0.0000  4 Sm 2.82, 4 Al 2.82
Al 0.2500 0.2500 0.2500  4 Li 2.82, 4 Be 2.82
Sm 0.7500 0.7500 0.7500  4 Be 2.82, 4 Li 2.82


Among the records above, which one has the highest E_tot? TlTe4Ru